PBE-GGA K2FeMo, optimized geometry; electronic total energy = -15.243 eV/f.u.; ρ = 4254 kg/m³; calculated formation energy = 1561.5 meV per atom
1.0
-1.949 1.949 5.908
1.949 -1.949 5.908
1.949 1.949 -5.908
K Fe Mo
2 1 1
direct
0.250 0.750 0.500 K
0.750 0.250 0.500 K
0.000 0.000 0.000 Fe
0.500 0.500 0.000 Mo

=====

PBE-GGA Pd2AuSe4, optimized geometry; electronic total energy = -29.153 eV/f.u.; uncorrected formation energy = -0.222 eV per atom; ρ = 7614 kg/m³
1.0
6.637 -3.817 0.000
6.637 3.817 0.000
-4.378 0.000 6.246
Pd Au Se
4 2 8
direct
0.000 0.000 0.000 Pd
0.000 0.000 0.500 Pd
0.000 0.500 0.000 Pd
0.500 0.000 0.000 Pd
0.375 0.375 0.625 Au
0.625 0.625 0.375 Au
0.207 0.763 0.235 Se
0.235 0.235 0.207 Se
0.235 0.235 0.763 Se
0.237 0.793 0.765 Se
0.763 0.207 0.235 Se
0.765 0.765 0.237 Se
0.765 0.765 0.793 Se
0.793 0.237 0.765 Se

=====

- Number 2 is which compound?
  Pd2AuSe4

=====

- Number 1 is which compound?
  K2FeMo